Record 1
Computed, not measured: Na2GaN after structural relaxation at the GGA-PBE level of DFT.

a = 3.9835 Å, b = 3.9835 Å, c = 17.9018 Å
α = 90.00°, β = 90.00°, γ = 90.00°
Last column: nearest neighbours and their distance in Å.
Space group I-42d (No. 122)
Inequivalent atoms, fractional coordinates:
1 Na 0.1894 0.2500 0.1250 x8  2 Na 2.50, 2 N 2.56, 2 Ga 2.74
2 Ga 0.0000 0.0000 0.5000 x4  4 Na 2.74, 4 N 2.82
3 N 0.0000 0.0000 0.0000 x4  4 Na 2.56, 4 Ga 2.82

Summary:
Raw formation energy, meV per atom: 828.4
Energy above the lowest structure with this stoichiometry, meV/atom: 150.1
DOS(E_F), states/eV/atom: 0.58



Record 2
Computed, not measured: Na3GaN2 after structural relaxation at the GGA-PBE level of DFT.

a = 8.0994 Å, b = 8.0994 Å, c = 12.6800 Å
α = 90.00°, β = 90.00°, γ = 90.00°
Last column: nearest neighbours and their distance in Å.
Space group I4_1/amd (No. 141, origin choice 2)
Inequivalent atoms, fractional coordinates:
1 Na 0.0000 0.2500 0.0003 x8  2 N 2.30
2 Na 0.2337 0.0163 0.3750 x16  4 N 2.53-2.65
3 Ga 0.0000 0.2500 0.2383 x8  2 N 1.77
4 N 0.0000 0.0318 0.2293 x16  1 Ga 1.77

Summary:
Raw formation energy, meV per atom: -24.8
DOS(E_F), states/eV/atom: 0.01



Record 3
Computed, not measured: Na4Np3GaN8 after structural relaxation at the GGA-PBE level of DFT.

a = 12.0171 Å, b = 6.6024 Å, c = 6.8220 Å
α = 90.00°, β = 123.73°, γ = 90.00°
Last column: nearest neighbours and their distance in Å.
Space group C2/m (No. 12)
Inequivalent atoms, fractional coordinates:
1 Na 0.0000 0.0000 0.0000 x2  6 N 2.50-2.61
2 Na 0.0000 0.5000 0.0000 x2  6 N 2.60-2.75
3 Na 0.2500 0.2500 0.0000 x4  6 N 2.60-2.77
4 Np 0.0000 0.0000 0.5000 x2  6 N 2.19-2.28
5 Np 0.2500 0.2500 0.5000 x4  6 N 2.14-2.26
6 Ga 0.0000 0.5000 0.5000 x2  4 N 2.18
7 N 0.0253 0.2510 0.3185 x8  1 Ga 2.18, 2 Np 2.19-2.26
8 N 0.2267 0.0000 0.6841 x4  3 Np 2.18-2.28
9 N 0.2474 0.0000 0.2982 x4  2 Np 2.14

Summary:
Raw formation energy, meV per atom: -608.9
DOS(E_F), states/eV/atom: 0.67



Record 4
Computed, not measured: Na3Np3GaN8 after structural relaxation at the GGA-PBE level of DFT.

a = 11.8903 Å, b = 6.6139 Å, c = 6.8248 Å
α = 90.00°, β = 123.95°, γ = 90.00°
Last column: nearest neighbours and their distance in Å.
Space group C2/m (No. 12)
Inequivalent atoms, fractional coordinates:
1 Na 0.0000 0.0000 0.0000 x2  6 N 2.65-2.69
2 Na 0.2500 0.2500 0.0000 x4  6 N 2.61-2.77
3 Np 0.0000 0.5000 0.5000 x2  6 N 2.16-2.28
4 Np 0.2500 0.2500 0.5000 x4  6 N 2.11-2.21
5 Ga 0.0000 0.0000 0.5000 x2  4 N 2.15
6 N 0.0276 0.2486 0.3284 x8  1 Ga 2.15, 2 Np 2.16-2.21
7 N 0.2294 0.5000 0.6862 x4  3 Np 2.18-2.28
8 N 0.2442 0.0000 0.6865 x4  2 Np 2.11

Summary:
Raw formation energy, meV per atom: -541.3
DOS(E_F), states/eV/atom: 0.73



Record 5
Computed, not measured: NaGaN2O after structural relaxation at the GGA-PBE level of DFT.

a = 4.5125 Å, b = 4.5125 Å, c = 4.3155 Å
α = 90.00°, β = 90.00°, γ = 90.00°
Last column: nearest neighbours and their distance in Å.
Space group P4/mmm (No. 123)
Inequivalent atoms, fractional coordinates:
1 Na 0.0000 0.0000 0.0000 x1  2 O 2.16, 4 N 2.26
2 Ga 0.5000 0.5000 0.5000 x1  8 N 3.12, 4 O 3.19
3 N 0.0000 0.5000 0.0000 x2  2 Na 2.26
4 O 0.0000 0.0000 0.5000 x1  2 Na 2.16

Summary:
Raw formation energy, meV per atom: 1746.8
DOS(E_F), states/eV/atom: 0.36



Record 6
Computed, not measured: NaGaN2O after structural relaxation at the GGA-PBE level of DFT.

a = 4.0455 Å, b = 4.0455 Å, c = 3.9397 Å
α = 90.00°, β = 90.00°, γ = 90.00°
Last column: nearest neighbours and their distance in Å.
Space group P4/mmm (No. 123)
Inequivalent atoms, fractional coordinates:
1 Na 0.0000 0.0000 0.0000 x1  8 N 2.82, 4 O 2.86
2 Ga 0.5000 0.5000 0.5000 x1  2 O 1.97, 4 N 2.02
3 N 0.0000 0.5000 0.5000 x2  2 Ga 2.02
4 O 0.5000 0.5000 0.0000 x1  2 Ga 1.97

Summary:
Raw formation energy, meV per atom: 539.5
DOS(E_F), states/eV/atom: 0.28



Record 7
Computed, not measured: Na4Pa3GaN8 after structural relaxation at the GGA-PBE level of DFT.

a = 12.4637 Å, b = 6.6843 Å, c = 6.9002 Å
α = 90.00°, β = 123.38°, γ = 90.00°
Last column: nearest neighbours and their distance in Å.
Space group C2/m (No. 12)
Inequivalent atoms, fractional coordinates:
1 Na 0.0000 0.0000 0.0000 x2  6 N 2.49-2.70
2 Na 0.0000 0.5000 0.0000 x2  6 N 2.60-2.87
3 Na 0.2500 0.2500 0.0000 x4  6 N 2.59-2.84
4 Pa 0.0000 0.0000 0.5000 x2  6 N 2.25-2.36
5 Pa 0.2500 0.2500 0.5000 x4  6 N 2.19-2.40
6 Ga 0.0000 0.5000 0.5000 x2  4 N 2.13
7 N 0.0211 0.2617 0.3175 x8  1 Ga 2.13, 1 Pa 2.25
8 N 0.2258 0.0000 0.6911 x4  3 Pa 2.25-2.36
9 N 0.2376 0.0000 0.2826 x4  2 Pa 2.19

Summary:
Raw formation energy, meV per atom: -734.1
DOS(E_F), states/eV/atom: 0.69



Record 8
Computed, not measured: NaGa2PtN after structural relaxation at the GGA-PBE level of DFT.

a = 5.0273 Å, b = 5.0273 Å, c = 3.8310 Å
α = 90.00°, β = 90.00°, γ = 90.00°
Last column: nearest neighbours and their distance in Å.
Space group P4/mmm (No. 123)
Inequivalent atoms, fractional coordinates:
1 Na 0.0000 0.0000 0.0000 x1  8 Ga 3.16
2 Ga 0.0000 0.5000 0.5000 x2  2 N 2.51
3 Pt 0.5000 0.5000 0.0000 x1  2 N 1.92
4 N 0.5000 0.5000 0.5000 x1  2 Pt 1.92

Summary:
Raw formation energy, meV per atom: 303.5
DOS(E_F), states/eV/atom: 0.56



Copy entry 4 word for word.
Computed, not measured: Na3Np3GaN8 after structural relaxation at the GGA-PBE level of DFT.

a = 11.8903 Å, b = 6.6139 Å, c = 6.8248 Å
α = 90.00°, β = 123.95°, γ = 90.00°
Last column: nearest neighbours and their distance in Å.
Space group C2/m (No. 12)
Inequivalent atoms, fractional coordinates:
1 Na 0.0000 0.0000 0.0000 x2  6 N 2.65-2.69
2 Na 0.2500 0.2500 0.0000 x4  6 N 2.61-2.77
3 Np 0.0000 0.5000 0.5000 x2  6 N 2.16-2.28
4 Np 0.2500 0.2500 0.5000 x4  6 N 2.11-2.21
5 Ga 0.0000 0.0000 0.5000 x2  4 N 2.15
6 N 0.0276 0.2486 0.3284 x8  1 Ga 2.15, 2 Np 2.16-2.21
7 N 0.2294 0.5000 0.6862 x4  3 Np 2.18-2.28
8 N 0.2442 0.0000 0.6865 x4  2 Np 2.11

Summary:
Raw formation energy, meV per atom: -541.3
DOS(E_F), states/eV/atom: 0.73



> Which value of DOS(E_F) does entry 8 give?

0.56 states/eV/atom



> What is the DOS(E_F) in the third record?

0.67 states/eV/atom